[1]
Compound: La2SmTl4
Source: Alexandria via LeMat-Bulk
Functional: GGA-PBE
Structure: relaxed

abc: 5.4113 5.4113 15.5361
angles: 90.00 90.00 90.00
Space group I4/mmm (No. 139)
Asymmetric unit:
La 0.0000 0.0000 0.2456 x4
Sm 0.0000 0.0000 0.5000 x2
Tl 0.0000 0.5000 0.1107 x8

## Properties
- V (Å³/cell) = 455
- D(E_F) (states/eV/atom) = 0.90


[2]
Compound: La3Sm2Tl7
Source: Alexandria via LeMat-Bulk
Functional: GGA-PBE
Structure: relaxed

abc: 5.4643 24.8233 5.7495
angles: 90.00 90.00 90.00
Space group Cmmm (No. 65)
Asymmetric unit:
La 0.0000 0.0000 0.0000 x2
La 0.0000 0.1641 0.0000 x4
Sm 0.0000 0.3564 0.5000 x4
Tl 0.0000 0.0752 0.5000 x4
Tl 0.0000 0.2257 0.5000 x4
Tl 0.0000 0.4173 0.0000 x4
Tl 0.0000 0.5000 0.5000 x2

## Properties
- V (Å³/cell) = 780
- D(E_F) (states/eV/atom) = 0.91


Number 1: E -3.698 eV/atom, formation energy -264 meV/atom. Number 2: E -3.582 eV/atom, formation energy -183 meV/atom.